An optimized crystal structure of Ti3Os2, computed with PBE-GGA.

Cell and atoms, written as POSCAR:
```
Ti3Os2
1.0
3.088 0.000 0.000
0.000 3.088 0.000
0.000 0.000 15.960
Ti Os
6 4
Cartesian
0.000 0.000 11.081
0.000 0.000 4.880
0.000 0.000 1.805
1.544 1.544 0.000
0.000 0.000 7.980
0.000 0.000 14.155
1.544 1.544 3.316
1.544 1.544 12.645
1.544 1.544 6.431
1.544 1.544 9.530
```

Calculated values
spin magnetization	0.0	Bohr magnetons per cell
energy of formation from the pure elements	-0.57	eV per atom
DOS at the Fermi energy	2.98	states/eV/f.u.
space-group type	P4/mmm